Density functional theory data (PBE) for a geometry-optimized NiOs2Br structure.

As for the excess energy over the best structure of this formula in the dataset: 610 meV per atom. As for the energy relative to the elements, uncorrected: 1.24 eV per atom. Its symmetry is F-43m (216). For the raw total energy, the calculation gives -24.959 eV for the cell shown. The magnetization comes out at 0.0 μB per formula unit. The value obtained for the density of states at the Fermi level is 1.4293 states/eV/atom.

abc: 4.3916 4.3916 4.3916
angles: 60.00 60.00 60.00
Positions (direct):
Ni (0.7500, 0.7500, 0.7500)
Os (0.2500, 0.2500, 0.2500)
Os (0.0000, 0.0000, 0.0000)
Br (0.5000, 0.5000, 0.5000)